Compound: Cd3Pd2Au7
Source: Alexandria via LeMat-Bulk
Functional: PBE
Structure: relaxed

Properties
Energy relative to the elements, meV/atom: -111

POSCAR file:
```
Cd3Pd2Au7
1.0
5.303 0.000 0.000
0.000 2.912 0.000
-1.636 0.000 14.294
Cd Pd Au
3 2 7
Direct
0.000 0.000 0.000 Cd
0.050 0.500 0.660 Cd
0.950 0.500 0.340 Cd
0.450 0.000 0.327 Pd
0.550 0.000 0.673 Pd
0.222 0.500 0.169 Au
0.250 0.000 0.499 Au
0.276 0.000 0.831 Au
0.500 0.500 0.000 Au
0.724 0.000 0.169 Au
0.750 0.000 0.501 Au
0.778 0.500 0.831 Au
```